Record 1
{
  "formula": "RbCoPt",
  "functional": "PBE-GGA",
  "state": "relaxed",
  "crystal_system": "cubic",
  "sg": "F-43m (216)",
  "cell": [[0.0000, 3.4637, 3.4637], [3.4637, 0.0000, 3.4637], [3.4637, 3.4637, 0.0000]],
  "species": ["Co", "Rb", "Pt"],
  "frac_coords": [[0.2500, 0.2500, 0.2500], [0.0000, 0.0000, 0.0000], [0.7500, 0.7500, 0.7500]]
}

---

Record 2
{
  "formula": "RbCoPt",
  "functional": "PBE-GGA",
  "state": "relaxed",
  "crystal_system": "cubic",
  "sg": "F-43m (216)",
  "cell": [[0.0000, 3.2848, 3.2848], [3.2848, 0.0000, 3.2848], [3.2848, 3.2848, 0.0000]],
  "species": ["Co", "Pt", "Rb"],
  "frac_coords": [[0.0000, 0.0000, 0.0000], [0.2500, 0.2500, 0.2500], [0.7500, 0.7500, 0.7500]]
}

---

Record 3
{
  "formula": "Rb2CoPt2S4",
  "functional": "PBE-GGA",
  "state": "relaxed",
  "crystal_system": "orthorhombic",
  "sg": "Fmmm (69)",
  "cell": [[-2.9392, -3.1102, 7.3115], [-5.6906, 1.5393, 4.8052], [-3.2833, -4.9685, -0.0553]],
  "species": ["S", "Rb", "S", "Rb", "Co", "S", "S", "Pt", "Pt"],
  "frac_coords": [[0.9422, 0.2755, 0.7245], [0.6570, 0.6570, 0.3430], [0.7245, 0.0578, 0.9422], [0.3430, 0.3430, 0.6570], [0.0000, 0.0000, 0.0000], [0.2755, 0.9422, 0.0578], [0.0578, 0.7245, 0.2755], [0.0000, 0.0000, 0.5000], [0.5000, 0.5000, 0.0000]]
}

---

Record 4
{
  "formula": "Rb2Co2PtS4",
  "functional": "PBE-GGA",
  "state": "relaxed",
  "crystal_system": "orthorhombic",
  "sg": "Fmmm (69)",
  "cell": [[0.0000, 5.2118, 6.9527], [2.8865, 0.0000, 6.9527], [2.8865, 5.2118, 0.0000]],
  "species": ["Rb", "Co", "Co", "S", "S", "S", "S", "Rb", "Pt"],
  "frac_coords": [[0.6565, 0.6565, 0.3435], [0.5000, 0.5000, 0.0000], [0.0000, 0.0000, 0.5000], [0.7180, 0.0663, 0.9337], [0.2820, 0.9337, 0.0663], [0.0663, 0.7180, 0.2820], [0.9337, 0.2820, 0.7180], [0.3435, 0.3435, 0.6565], [0.0000, 0.0000, 0.0000]]
}

---

Record 5
{
  "formula": "Rb2CoPtSe4",
  "functional": "PBE-GGA",
  "state": "relaxed",
  "crystal_system": "orthorhombic",
  "sg": "Amm2 (38)",
  "cell": [[7.1797, 0.0000, 0.0000], [0.0000, 2.9619, 6.9567], [0.0000, -2.9619, 6.9567]],
  "species": ["Se", "Se", "Se", "Pt", "Se", "Rb", "Co", "Rb"],
  "frac_coords": [[0.2388, 0.6125, 0.6125], [0.7612, 0.6125, 0.6125], [0.7629, 0.3875, 0.3875], [0.5000, 0.4997, 0.4997], [0.2371, 0.3875, 0.3875], [0.0000, 0.1696, 0.1696], [0.0000, 0.4998, 0.4998], [0.5000, 0.8310, 0.8310]]
}

---

Record 6
{
  "formula": "CoRePt",
  "functional": "PBE-GGA",
  "state": "relaxed",
  "crystal_system": "cubic",
  "sg": "F-43m (216)",
  "cell": [[-4.0004, 0.3492, 0.0865], [-1.8932, 2.1147, -2.8418], [-2.2404, -1.8856, -2.7490]],
  "species": ["Pt", "Co", "Re"],
  "frac_coords": [[0.2500, 0.2500, 0.2500], [0.0000, 0.0000, 0.0000], [0.7500, 0.7500, 0.7500]]
}

---

Record 7
{
  "formula": "CoRe6Pt",
  "functional": "PBE-GGA",
  "state": "relaxed",
  "crystal_system": "hexagonal",
  "sg": "P-6m2 (187)",
  "cell": [[5.4972, 0.0000, 0.0000], [-2.7486, 4.7607, 0.0000], [0.0000, 0.0000, 4.3794]],
  "species": ["Pt", "Re", "Re", "Re", "Re", "Re", "Co", "Re"],
  "frac_coords": [[0.3333, 0.6667, 0.0000], [0.8319, 0.6639, 0.0000], [0.3361, 0.1681, 0.0000], [0.5066, 0.4934, 0.5000], [0.5066, 0.0132, 0.5000], [0.8319, 0.1681, 0.0000], [0.0000, 0.0000, 0.5000], [0.9868, 0.4934, 0.5000]]
}

---

Record 8
{
  "formula": "CoRePt2",
  "functional": "PBE-GGA",
  "state": "relaxed",
  "crystal_system": "cubic",
  "sg": "F-43m (216)",
  "cell": [[0.0000, 3.0564, 3.0564], [3.0564, 0.0000, 3.0564], [3.0564, 3.0564, 0.0000]],
  "species": ["Re", "Pt", "Pt", "Co"],
  "frac_coords": [[0.5000, 0.5000, 0.5000], [0.7500, 0.7500, 0.7500], [0.0000, 0.0000, 0.0000], [0.2500, 0.2500, 0.2500]]
}

---

Calculated volume
In order: 27.70 23.63 24.87 23.24 36.98 15.27 14.33 14.28
Unit: Å³ per atom
E_tot
In order: -2.86 -3.63 -4.88 -4.96 -4.18 -8.06 -11.09 -7.67
Unit: eV per atom